ZnCr2Ni: relaxed, PBE.

**Total magnetization**: 0.00 μB/atom
**SG**: No. 12
**Calculated density**: 8.00 Mg/m³
**E_form**: 0.1559 eV/atom

Structure (POSCAR):
```
ZnCr2Ni
1.0
2.398 -4.079 0.000
2.398 4.079 0.000
-0.279 0.000 2.420
Zn Cr Ni
1 2 1
Direct
0.000 0.000 0.000
0.000 0.500 0.500
0.500 0.000 0.500
0.500 0.500 0.000
```